(1)
Here is a relaxed Y2SnPb crystal from the Alexandria database. Energies are from PBE-GGA.

Properties
Its space group is No. 123. The total energy is -22.801 eV for the cell shown. For the distance to the lowest polymorph of the same formula, the calculation gives 96.4 meV per atom. As for the calculated formation energy: -0.540 eV/atom.

a = 5.0158 Å, b = 5.0158 Å, c = 4.3912 Å
α = 90.00°, β = 90.00°, γ = 90.00°
Fractional coordinates of all 4 atoms:
Y  0.0000  0.5000  0.0000
Y  0.5000  0.0000  0.0000
Sn  0.0000  0.0000  0.5000
Pb  0.5000  0.5000  0.5000


(2)
Here is a relaxed Zn2SnPb2 crystal from the Alexandria database. Energies are from PBE-GGA.

Properties
Its space group is No. 127. The total energy is -27.079 eV for the cell shown. For the distance to the lowest polymorph of the same formula, the calculation gives 0.0 meV per atom. As for the calculated formation energy: 0.086 eV/atom.

a = 7.3513 Å, b = 7.3513 Å, c = 4.6261 Å
α = 90.00°, β = 90.00°, γ = 90.00°
Fractional coordinates of all 10 atoms:
Zn  0.1234  0.3766  0.0000
Zn  0.3766  0.8766  0.0000
Zn  0.6234  0.1234  0.0000
Zn  0.8766  0.6234  0.0000
Sn  0.0000  0.0000  0.0000
Sn  0.5000  0.5000  0.0000
Pb  0.1781  0.6781  0.5000
Pb  0.3219  0.1781  0.5000
Pb  0.6781  0.8219  0.5000
Pb  0.8219  0.3219  0.5000


(3)
Here is a relaxed ZnSnPb crystal from the Alexandria database. Energies are from PBE-GGA.

Properties
Its space group is No. 216. The total energy is -8.737 eV for the cell shown. As for the calculated formation energy: 0.083 eV/atom.

a = 4.8665 Å, b = 4.8665 Å, c = 4.8665 Å
α = 60.00°, β = 60.00°, γ = 60.00°
Fractional coordinates of all 3 atoms:
Zn  0.0000  0.0000  0.0000
Sn  0.2500  0.2500  0.2500
Pb  0.7500  0.7500  0.7500


(4)
Here is a relaxed ZnSnPb2 crystal from the Alexandria database. Energies are from PBE-GGA.

Properties
Its space group is No. 225. The total energy is -12.195 eV for the cell shown. For the distance to the lowest polymorph of the same formula, the calculation gives 9.3 meV per atom. As for the calculated formation energy: 0.125 eV/atom.

a = 5.3714 Å, b = 5.3714 Å, c = 5.3714 Å
α = 60.00°, β = 60.00°, γ = 60.00°
Fractional coordinates of all 4 atoms:
Zn  0.0000  0.0000  0.0000
Sn  0.5000  0.5000  0.5000
Pb  0.2500  0.2500  0.2500
Pb  0.7500  0.7500  0.7500